VASP calculation (PBE) on an optimized crystal structure of Cs2TmInF6.

a = 9.6527 Å, b = 9.6527 Å, c = 9.6527 Å
α = 90.00°, β = 90.00°, γ = 90.00°
Closest atoms and distances in Å follow each position.
Space group Fm-3m (No. 225)
Unique sites:
Cs 0.2500 0.2500 0.2500  12 F 3.42
Tm 0.0000 0.0000 0.0000  6 F 2.15
In 0.0000 0.0000 0.5000  6 F 2.68
F 0.0000 0.0000 0.2227  1 Tm 2.15

Calculated values
* volume: 899 Å³/cell
* ρ: 4.900 g cm⁻³
* raw total energy: -0.378 Ry per atom



VASP calculation (PBE) on an optimized crystal structure of CrCo3Re.

a = 6.2939 Å, b = 6.1530 Å, c = 6.3839 Å
α = 90.00°, β = 90.00°, γ = 90.00°
Closest atoms and distances in Å follow each position.
Space group Pnma (No. 62)
Unique sites:
Cr 0.0000 0.0000 0.0000  6 Co 2.44-2.58, 2 Re 2.53
Co 0.1290 0.0515 0.3563  3 Re 2.38-2.41, 2 Cr 2.44-2.53, 5 Co 2.44-2.58
Co 0.1470 0.2500 0.7088  6 Co 2.51-2.58, 2 Cr 2.58, 1 Re 2.59
Re 0.1922 0.7500 0.5819  7 Co 2.38-2.59, 2 Cr 2.53

Calculated values
* volume: 247 Å³/cell
* offset from the most stable computed form: 0.000 eV per atom
* ΔE_f: 0.331 eV per atom
* ρ: 11.150 g cm⁻³
* raw total energy: -0.613 Ry per atom



VASP calculation (PBE) on an optimized crystal structure of In2CuSi.

a = 4.5602 Å, b = 4.5602 Å, c = 16.9844 Å
α = 90.00°, β = 90.00°, γ = 90.00°
Closest atoms and distances in Å follow each position.
Space group I-42d (No. 122)
Unique sites:
In 0.2235 0.2500 0.1250  2 Cu 2.62, 2 Si 2.72
Cu 0.0000 0.0000 0.0000  4 In 2.62
Si 0.0000 0.0000 0.5000  4 In 2.72

Calculated values
* volume: 353 Å³/cell
* ρ: 6.042 g cm⁻³
* raw total energy: -0.248 Ry per atom



VASP calculation (PBE) on an optimized crystal structure of DyZn3CoCu.

a = 7.9046 Å, b = 10.4831 Å, c = 5.2433 Å
α = 90.00°, β = 90.00°, γ = 90.00°
Closest atoms and distances in Å follow each position.
Space group Cmcm (No. 63)
Unique sites:
Dy 0.0000 0.1869 0.2500  3 Co 2.79-2.85, 1 Cu 2.80, 6 Zn 2.93-3.04
Zn 0.0000 0.3127 0.7500  1 Cu 2.44, 1 Co 2.45
Zn 0.2428 0.0000 0.0000  2 Cu 2.47, 2 Co 2.47, 2 Zn 2.62
Co 0.0000 0.0792 0.7500  5 Zn 2.45-2.47
Cu 0.0000 0.4542 0.2500  5 Zn 2.44-2.47

Calculated values
* volume: 434 Å³/cell
* ΔE_f: -0.014 eV per atom
* ρ: 7.356 g cm⁻³
* raw total energy: -0.241 Ry per atom



VASP calculation (PBE) on an optimized crystal structure of MgGa6Pd.

a = 4.2678 Å, b = 5.3282 Å, c = 13.1054 Å
α = 90.00°, β = 90.00°, γ = 90.00°
Closest atoms and distances in Å follow each position.
Space group Amm2 (No. 38)
Unique sites:
Mg 0.0000 0.0000 0.0000  2 Pd 2.84, 6 Ga 2.88-3.03
Ga 0.0000 0.2418 0.7314  6 Ga 2.58-2.79, 1 Pd 2.88
Ga 0.5000 0.0000 0.1479  6 Ga 2.76-2.89, 2 Mg 2.88
Ga 0.5000 0.0000 0.5621  2 Pd 2.80, 4 Ga 2.88-2.89
Ga 0.5000 0.2420 0.8689  5 Ga 2.58-2.88, 2 Pd 2.64
Pd 0.0000 0.0000 0.4243  8 Ga 2.64-2.88, 2 Mg 2.84

Calculated values
* volume: 298 Å³/cell
* offset from the most stable computed form: 0.009 eV per atom
* ΔE_f: -0.179 eV per atom
* ρ: 6.119 g cm⁻³
* raw total energy: -0.242 Ry per atom



VASP calculation (PBE) on an optimized crystal structure of ScIr2.

a = 10.3284 Å, b = 2.8762 Å, c = 6.7154 Å
α = 90.00°, β = 104.80°, γ = 90.00°
Closest atoms and distances in Å follow each position.
Space group C2/m (No. 12)
Unique sites:
Sc 0.0303 0.0000 0.2882  9 Ir 2.73-2.91, 2 Sc 2.88
Ir 0.1462 0.5000 0.0144  7 Ir 2.63-2.88, 4 Sc 2.76-2.83
Ir 0.1972 0.5000 0.6341  5 Sc 2.73-2.91, 7 Ir 2.74-2.88

Calculated values
* volume: 193 Å³/cell
* ΔE_f: -0.558 eV per atom
* ρ: 14.788 g cm⁻³
* raw total energy: -0.630 Ry per atom



VASP calculation (PBE) on an optimized crystal structure of NaSnHgPd.

a = 6.8867 Å, b = 6.8867 Å, c = 6.8867 Å
α = 90.00°, β = 90.00°, γ = 90.00°
Closest atoms and distances in Å follow each position.
Space group F-43m (No. 216)
Unique sites:
Na 0.0000 0.0000 0.0000  4 Hg 2.98, 4 Sn 2.98
Sn 0.2500 0.2500 0.2500  4 Na 2.98, 4 Pd 2.98
Hg 0.2500 0.2500 0.7500  4 Na 2.98, 4 Pd 2.98
Pd 0.0000 0.0000 0.5000  4 Sn 2.98, 4 Hg 2.98

Calculated values
* volume: 327 Å³/cell
* ΔE_f: -0.217 eV per atom
* ρ: 9.125 g cm⁻³
* raw total energy: -0.215 Ry per atom



VASP calculation (PBE) on an optimized crystal structure of CsN2ClO.

a = 4.3740 Å, b = 4.3740 Å, c = 4.3906 Å
α = 90.00°, β = 90.00°, γ = 90.00°
Closest atoms and distances in Å follow each position.
Space group P4/mmm (No. 123)
Unique sites:
Cs 0.0000 0.0000 0.0000  4 O 3.09, 8 N 3.10
N 0.0000 0.5000 0.5000  2 Cl 2.19
Cl 0.5000 0.5000 0.5000  4 N 2.19, 2 O 2.20
O 0.5000 0.5000 0.0000  2 Cl 2.20

Calculated values
* volume: 84 Å³/cell
* ρ: 4.198 g cm⁻³
* raw total energy: -0.230 Ry per atom



VASP calculation (PBE) on an optimized crystal structure of UBiSe.

a = 7.1588 Å, b = 14.0758 Å, c = 4.0023 Å
α = 90.00°, β = 123.90°, γ = 90.00°
Closest atoms and distances in Å follow each position.
Space group C2/m (No. 12)
Unique sites:
U 0.0000 0.1571 0.0000  4 Se 2.85-3.03
Bi 0.2475 0.0000 0.7463  2 Bi 2.94-3.00
Se 0.0000 0.3017 0.5000  4 U 2.85-3.03

Calculated values
* volume: 335 Å³/cell
* ρ: 10.437 g cm⁻³
* raw total energy: -0.498 Ry per atom



VASP calculation (PBE) on an optimized crystal structure of Sm2Al4HgPd3.

a = 4.3203 Å, b = 4.3203 Å, c = 10.6287 Å
α = 90.00°, β = 90.00°, γ = 90.00°
Closest atoms and distances in Å follow each position.
Space group P-4m2 (No. 115)
Unique sites:
Sm 0.0000 0.5000 0.2414  6 Pd 3.29-3.50, 8 Al 3.30-3.35, 2 Hg 3.50
Al 0.0000 0.0000 0.0000  4 Pd 2.55
Al 0.0000 0.5000 0.6421  3 Pd 2.45-2.64, 2 Hg 2.64
Al 0.5000 0.5000 0.0000  4 Pd 2.55
Hg 0.0000 0.0000 0.5000  4 Al 2.64
Pd 0.0000 0.5000 0.8730  5 Al 2.45-2.55
Pd 0.5000 0.5000 0.5000  4 Al 2.64

Calculated values
* volume: 198 Å³/cell
* ΔE_f: -0.724 eV per atom
* ρ: 7.772 g cm⁻³
* raw total energy: -0.349 Ry per atom



| no. | M_tot (μB per formula unit) |
| --- | --- |
| 1 | 0.000 |
| 2 | 1.598 |
| 3 | 0.000 |
| 4 | 0.000 |
| 5 | 0.000 |
| 6 | 0.000 |
| 7 | 0.000 |
| 8 | 2.996 |
| 9 | 2.319 |
| 10 | 0.000 |